(1)
A geometry-optimized CrBMo structure. Source: Alexandria, functional PBE-GGA.

Geometry as POSCAR:
```
CrBMo
1.0
-2.0992 0.4290 2.1874
1.8137 -5.1651 2.7536
6.9118 5.3988 5.5742
B Cr Mo
6 6 6
Direct
0.5000 0.9452 0.9115
0.5000 0.0548 0.0885
0.0000 0.5518 0.2500
0.5000 0.0548 0.4115
0.5000 0.9452 0.5885
0.0000 0.4482 0.7500
0.5000 0.7993 0.2500
0.5000 0.2007 0.7500
0.5000 0.4305 0.3787
0.5000 0.4305 0.1213
0.5000 0.5695 0.6213
0.5000 0.5695 0.8787
0.0000 0.2294 0.9528
0.0000 0.7706 0.4528
0.0000 0.2294 0.5472
0.0000 0.7706 0.0472
0.0000 0.1493 0.2500
0.0000 0.8507 0.7500
```

Results
N(E_F) (states/eV/cell): 13.0
Symmetry: Pmma
Formation enthalpy at 0 K (eV per atom): -0.369
Spin magnetization (μB per formula unit): 0.001

***

(2)
A geometry-optimized CrB2Mo structure. Source: Alexandria, functional PBE-GGA.

Geometry as POSCAR:
```
CrB2Mo
1.0
-1.0496 -3.8488 1.8317
0.1214 1.8679 -3.9706
2.8352 -0.9431 -0.3570
Cr B Mo
1 2 1
Direct
0.8593 0.1407 0.5000
0.5566 0.4434 0.5000
0.4352 0.5648 0.0000
0.1488 0.8512 0.0000
```

Results
N(E_F) (states/eV/cell): 2.4
Offset from the most stable computed form (eV/atom): 0.000
Symmetry: Amm2
Formation enthalpy at 0 K (eV per atom): -0.488
Spin magnetization (μB per formula unit): 0.000

***

(3)
A geometry-optimized CrBMo structure. Source: Alexandria, functional PBE-GGA.

Geometry as POSCAR:
```
CrBMo
1.0
2.9861 0.0000 0.0000
1.4931 4.1957 -0.0508
1.4931 1.3795 5.4845
Mo Cr B
2 2 2
Direct
0.1472 0.5013 0.2043
0.8528 0.4987 0.7957
0.6334 0.1631 0.5702
0.3666 0.8369 0.4298
0.8854 0.0782 0.1510
0.1146 0.9218 0.8490
```

Results
N(E_F) (states/eV/cell): 3.8
Symmetry: C2/m
Formation enthalpy at 0 K (eV per atom): 0.015
Spin magnetization (μB per formula unit): 0.000

***

(4)
A geometry-optimized CrB2Mo structure. Source: Alexandria, functional PBE-GGA.

Geometry as POSCAR:
```
CrB2Mo
1.0
3.0750 0.0000 0.0000
1.5375 2.6630 0.0000
1.5375 0.8877 4.9312
Mo B Cr
1 2 1
Direct
0.5000 0.5000 0.5000
0.2562 0.2562 0.2313
0.7438 0.7438 0.7687
0.0000 0.0000 0.0000
```

Results
N(E_F) (states/eV/cell): 2.9
Offset from the most stable computed form (eV/atom): 0.348
Symmetry: R-3m
Formation enthalpy at 0 K (eV per atom): -0.140
Spin magnetization (μB per formula unit): 0.002

***

(5)
A geometry-optimized CrB2Mo2 structure. Source: Alexandria, functional PBE-GGA.

Geometry as POSCAR:
```
CrB2Mo2
1.0
-1.7793 -3.6042 -0.9048
-0.5642 -0.8230 4.3879
-5.1197 3.1248 -2.3795
B Mo Cr
4 4 2
Direct
0.2500 0.0888 0.7344
0.2500 0.6456 0.7344
0.7500 0.9112 0.2656
0.7500 0.3544 0.2656
0.7500 0.7841 0.5683
0.7500 0.4171 0.8342
0.2500 0.2159 0.4317
0.2500 0.5829 0.1658
0.0000 0.0000 0.0000
0.5000 0.0000 0.0000
```

Results
N(E_F) (states/eV/cell): 6.1
Symmetry: Cmcm
Formation enthalpy at 0 K (eV per atom): -0.003
Spin magnetization (μB per formula unit): 0.000

***

(6)
A geometry-optimized Cr3BMo structure. Source: Alexandria, functional PBE-GGA.

Geometry as POSCAR:
```
Cr3BMo
1.0
3.9098 0.0000 0.0000
0.0000 3.9098 0.0000
0.0000 0.0000 3.9098
Cr Mo B
3 1 1
Direct
0.5000 0.0000 0.0000
0.0000 0.5000 0.0000
0.0000 0.0000 0.5000
0.5000 0.5000 0.5000
0.0000 0.0000 0.0000
```

Results
N(E_F) (states/eV/cell): 5.3
Offset from the most stable computed form (eV/atom): 0.000
Symmetry: Pm-3m
Formation enthalpy at 0 K (eV per atom): 0.256
Spin magnetization (μB per formula unit): 0.000